Entry 1:
Tb3NdSc3: relaxed, GGA-PBE.

Lattice parameters (Å, degrees): 6.436 6.436 10.020 89.72 89.72 94.90
Fractional coordinates of all 14 atoms:
Tb  0.683  0.683  0.434
Sc  0.005  0.005  0.747
Tb  0.317  0.317  0.566
Sc  0.868  0.515  0.749
Nd  0.673  0.673  0.080
Sc  0.515  0.868  0.749
Tb  0.188  0.812  0.000
Sc  0.485  0.132  0.251
Tb  0.806  0.194  0.500
Tb  0.194  0.806  0.500
Nd  0.327  0.327  0.920
Tb  0.812  0.188  0.000
Sc  0.132  0.485  0.251
Sc  0.995  0.995  0.253

Values from the calculation:
Crystal system ... monoclinic
Energy ... -5.24 eV per atom
Formation energy from the elements ... 140 meV per atom
Energy relative to the lowest polymorph listed for this composition ... 0.0 meV/atom

Entry 2:
YPuRuAu: relaxed, GGA-PBE.

Lattice parameters (Å, degrees): 4.966 4.966 4.966 60.00 60.00 60.00
Each line ends with the local moment (μB).
Fractional coordinates of all 4 atoms:
Y  0.000  0.000  0.000  0.12
Ru  0.750  0.750  0.750  -0.47
Pu  0.500  0.500  0.500  5.18
Au  0.250  0.250  0.250  0.03

Values from the calculation:
Crystal system ... cubic
Energy ... -8.67 eV per atom
Formation energy from the elements ... -331 meV per atom

Entry 3:
Co3PdRh: relaxed, GGA-PBE.

Lattice parameters (Å, degrees): 5.212 6.510 7.925 107.80 90.00 90.00
Each line ends with the local moment (μB).
Fractional coordinates of all 20 atoms:
Co  0.505  0.907  0.852  1.82
Co  0.750  0.740  0.060  1.89
Co  0.995  0.907  0.852  1.82
Pd  0.500  0.500  0.250  0.32
Co  0.995  0.907  0.352  1.82
Rh  0.250  0.732  0.058  0.81
Co  0.005  0.093  0.648  1.82
Pd  0.500  0.500  0.750  0.32
Rh  0.750  0.268  0.442  0.81
Co  0.505  0.907  0.352  1.82
Rh  0.750  0.268  0.942  0.81
Co  0.250  0.260  0.940  1.89
Pd  0.000  0.500  0.250  0.32
Rh  0.250  0.732  0.558  0.81
Co  0.005  0.093  0.148  1.82
Co  0.495  0.093  0.648  1.82
Pd  0.000  0.500  0.750  0.32
Co  0.250  0.260  0.440  1.89
Co  0.495  0.093  0.148  1.82
Co  0.750  0.740  0.560  1.89

Values from the calculation:
Crystal system ... monoclinic
Energy ... -6.70 eV per atom
Formation energy from the elements ... 77 meV per atom
Energy relative to the lowest polymorph listed for this composition ... 0.0 meV/atom

Entry 4:
AcPrEr: relaxed, GGA-PBE.

Lattice parameters (Å, degrees): 7.827 7.827 7.827 90.00 90.00 90.00
Fractional coordinates of all 12 atoms:
Pr  0.168  0.668  0.832
Pr  0.668  0.832  0.168
Er  0.034  0.466  0.534
Pr  0.332  0.332  0.332
Ac  0.860  0.360  0.140
Er  0.534  0.034  0.466
Ac  0.640  0.640  0.640
Ac  0.140  0.860  0.360
Pr  0.832  0.168  0.668
Er  0.966  0.966  0.966
Ac  0.360  0.140  0.860
Er  0.466  0.534  0.034

Values from the calculation:
Crystal system ... cubic
Energy ... -3.90 eV per atom
Formation energy from the elements ... 584 meV per atom
Energy relative to the lowest polymorph listed for this composition ... 535.0 meV/atom

Entry 5:
Lu2MgMo: relaxed, GGA-PBE.

Lattice parameters (Å, degrees): 3.469 3.469 7.891 90.00 90.00 90.00
Fractional coordinates of all 4 atoms:
Lu  0.000  0.000  0.209
Mg  0.500  0.500  0.500
Lu  0.000  0.000  0.791
Mo  0.500  0.500  0.000

Values from the calculation:
Crystal system ... tetragonal
Energy ... -5.25 eV per atom
Formation energy from the elements ... 113 meV per atom

Entry 6:
Mn2MoP: relaxed, GGA-PBE.

Lattice parameters (Å, degrees): 3.977 3.977 3.045 90.00 90.00 90.00
Each line ends with the local moment (μB).
Fractional coordinates of all 4 atoms:
P  0.000  0.500  0.500  0.00
Mo  0.500  0.000  0.500  -0.01
Mn  0.000  0.000  0.000  0.07
Mn  0.500  0.500  0.000  0.07

Values from the calculation:
Crystal system ... tetragonal
Energy ... -8.68 eV per atom
Formation energy from the elements ... -31 meV per atom

Q: The highest energy belongs to which entry?
A: AcPrEr

Q: Which formula does entry 1 have?
A: Tb3NdSc3